Record 1
TbPu4Pt5 after structural relaxation, computed with PBE.

The value obtained for the volume is 216.13 Å³ per cell. As for the formation energy: -19.0 kcal/mol of atoms.

a = 3.479 Å, b = 3.479 Å, c = 17.853 Å
α = 90.00°, β = 90.00°, γ = 90.00°
Space group P4/mmm (No. 123)
Inequivalent atoms, fractional coordinates:
Tb 0.000 0.000 0.000 (multiplicity 1)
Pu 0.000 0.000 0.201 (multiplicity 2)
Pu 0.000 0.000 0.400 (multiplicity 2)
Pt 0.500 0.500 0.096 (multiplicity 2)
Pt 0.500 0.500 0.300 (multiplicity 2)
Pt 0.500 0.500 0.500 (multiplicity 1)

Record 2
BeHPb after structural relaxation, computed with PBE.

As for the distance to the lowest polymorph of the same formula: 18 meV/atom. The value obtained for the volume is 110.78 Å³ per cell.

a = 3.987 Å, b = 5.352 Å, c = 5.390 Å
α = 78.46°, β = 87.97°, γ = 79.49°
Space group P-1 (No. 2)
Inequivalent atoms, fractional coordinates:
Be 0.247 0.061 0.496 (multiplicity 2)
H 0.498 0.989 0.702 (multiplicity 2)
Pb 0.234 0.530 0.729 (multiplicity 2)

Record 3
Li3InPt after structural relaxation, computed with PBE.

As for the distance to the lowest polymorph of the same formula: 328 meV/atom. The value obtained for the volume is 105.32 Å³ per cell. As for the formation energy: -2.9 kcal/mol of atoms.

a = 4.722 Å, b = 4.722 Å, c = 4.722 Å
α = 90.00°, β = 90.00°, γ = 90.00°
Space group Pm-3m (No. 221)
Inequivalent atoms, fractional coordinates:
Li 0.000 0.000 0.500 (multiplicity 3)
In 0.500 0.500 0.500 (multiplicity 1)
Pt 0.000 0.000 0.000 (multiplicity 1)

Record 4
Ac6Si2SnI3 after structural relaxation, computed with PBE.

The calculation puts the energy relative to the elements, uncorrected at -920.0 meV/atom. The value obtained for the volume is 922.40 Å³ per cell.

a = 21.064 Å, b = 4.680 Å, c = 9.725 Å
α = 90.00°, β = 105.83°, γ = 90.00°
Space group C2/m (No. 12)
Inequivalent atoms, fractional coordinates:
Ac 0.016 0.000 0.242 (multiplicity 4)
Ac 0.163 0.500 0.125 (multiplicity 4)
Ac 0.178 0.500 0.559 (multiplicity 4)
Si 0.168 0.000 0.338 (multiplicity 4)
Sn 0.000 0.500 0.000 (multiplicity 2)
I 0.000 0.500 0.500 (multiplicity 2)
I 0.164 0.000 0.834 (multiplicity 4)

Record 5
CdSb2As after structural relaxation, computed with PBE.

The calculation puts the energy relative to the elements, uncorrected at 90.0 meV/atom. As for the distance to the lowest polymorph of the same formula: 47 meV/atom. The value obtained for the volume is 106.79 Å³ per cell.

a = 3.147 Å, b = 5.769 Å, c = 6.081 Å
α = 90.00°, β = 104.66°, γ = 90.00°
Space group Pm (No. 6)
Inequivalent atoms, fractional coordinates:
Cd 0.000 0.000 0.000 (multiplicity 1)
Sb 0.734 0.000 0.456 (multiplicity 1)
Sb 0.951 0.500 0.900 (multiplicity 1)
As 0.730 0.500 0.450 (multiplicity 1)

Record 6
FeNiIr after structural relaxation, computed with PBE.

As for the distance to the lowest polymorph of the same formula: 156 meV/atom. The value obtained for the volume is 156.04 Å³ per cell. As for the formation energy: 3.3 kcal/mol of atoms.

a = 2.810 Å, b = 4.408 Å, c = 12.598 Å
α = 90.00°, β = 90.00°, γ = 90.00°
Space group Fmm2 (No. 42)
Inequivalent atoms, fractional coordinates:
Fe 0.000 0.000 0.000 (multiplicity 4)
Ni 0.000 0.000 0.655 (multiplicity 4)
Ir 0.000 0.000 0.329 (multiplicity 4)